No. 1
# Mg2CrIn

A relaxed structure of Mg2CrIn (PBE, Alexandria via LeMat-Bulk).

Cell lengths 3.271, 4.104, 6.218 Å; angles 90.00, 90.00, 90.00 degrees
Space group Pmmm (No. 47)
Symmetry-distinct sites (fractional):
Mg: 0.000 0.000 0.237 (multiplicity 2)
Cr: 0.500 0.500 0.000 (multiplicity 1)
In: 0.500 0.500 0.500 (multiplicity 1)

Calculated values
As for the density of states at the Fermi level: 0.42 states/eV/atom. As for the total magnetization: 4.15 μB per formula unit. The value obtained for the formation energy is 0.8 eV per formula unit.


No. 2
# CeTmO2

A relaxed structure of CeTmO2 (PBE, Alexandria via LeMat-Bulk).

Cell lengths 3.3668, 3.3668, 17.6292 Å; angles 90.00, 90.00, 120.00 degrees
Space group R-3m (No. 166, hexagonal axes)
Symmetry-distinct sites (fractional):
Ce: 0.0000 0.0000 0.0000 (multiplicity 3)
Tm: 0.0000 0.0000 0.5000 (multiplicity 3)
O: 0.0000 0.0000 0.2350 (multiplicity 6)

Calculated values
The formation energy from raw total energies is -2.906 eV/atom. As for the density of states at the Fermi level: 1.00 states/eV/atom. As for the total magnetization: 0.00 μB per formula unit.


No. 3
# PrScGe2Pt5

A relaxed structure of PrScGe2Pt5 (PBE, Alexandria via LeMat-Bulk).

Cell lengths 4.263, 4.263, 9.130 Å; angles 90.00, 90.00, 90.00 degrees
Space group P4/mmm (No. 123)
Symmetry-distinct sites (fractional):
Pr: 0.000 0.000 0.000 (multiplicity 1)
Sc: 0.000 0.000 0.500 (multiplicity 1)
Ge: 0.500 0.500 0.370 (multiplicity 2)
Pt: 0.000 0.500 0.236 (multiplicity 4)
Pt: 0.500 0.500 0.000 (multiplicity 1)

Calculated values
As for the density of states at the Fermi level: 0.44 states/eV/atom. As for the total magnetization: 0.00 μB per formula unit. The value obtained for the formation energy is -6.9 eV per formula unit.


No. 4
# GdLuCuOs

A relaxed structure of GdLuCuOs (PBE, Alexandria via LeMat-Bulk).

Cell lengths 6.823, 6.823, 6.823 Å; angles 90.00, 90.00, 90.00 degrees
Space group F-43m (No. 216)
Symmetry-distinct sites (fractional):
Gd: 0.000 0.000 0.000 (multiplicity 4)
Lu: 0.000 0.000 0.500 (multiplicity 4)
Cu: 0.250 0.250 0.250 (multiplicity 4)
Os: 0.250 0.250 0.750 (multiplicity 4)

Calculated values
As for the density of states at the Fermi level: 0.56 states/eV/atom. As for the total magnetization: 7.20 μB per formula unit. The value obtained for the formation energy is -1.1 eV per formula unit.


No. 5
# NaCa3IrO6

A relaxed structure of NaCa3IrO6 (PBE, Alexandria via LeMat-Bulk).

Cell lengths 9.3256, 9.3256, 11.2722 Å; angles 90.00, 90.00, 120.00 degrees
Space group R-3c (No. 167, hexagonal axes)
Symmetry-distinct sites (fractional):
Na: 0.0000 0.0000 0.2500 (multiplicity 6)
Ca: 0.0000 0.3545 0.2500 (multiplicity 18)
Ir: 0.0000 0.0000 0.0000 (multiplicity 6)
O: 0.0326 0.1911 0.3996 (multiplicity 36)

Calculated values
The formation energy from raw total energies is -2.114 eV/atom. As for the density of states at the Fermi level: 0.43 states/eV/atom. As for the total magnetization: 2.05 μB per formula unit.


No. 6
# Ca2ScSnC

A relaxed structure of Ca2ScSnC (PBE, Alexandria via LeMat-Bulk).

Cell lengths 5.044, 5.044, 4.530 Å; angles 90.00, 90.00, 90.00 degrees
Space group P4/mmm (No. 123)
Symmetry-distinct sites (fractional):
Ca: 0.000 0.500 0.000 (multiplicity 2)
Sc: 0.000 0.000 0.500 (multiplicity 1)
Sn: 0.500 0.500 0.500 (multiplicity 1)
C: 0.000 0.000 0.000 (multiplicity 1)

Calculated values
As for the density of states at the Fermi level: 0.58 states/eV/atom. As for the total magnetization: 0.00 μB per formula unit. The value obtained for the formation energy is -1.7 eV per formula unit.


No. 7
# La2ReBr

A relaxed structure of La2ReBr (PBE, Alexandria via LeMat-Bulk).

Cell lengths 3.901, 4.730, 6.060 Å; angles 90.00, 90.00, 90.00 degrees
Space group Pmm2 (No. 25)
Symmetry-distinct sites (fractional):
La: 0.000 0.000 0.000 (multiplicity 1)
La: 0.500 0.500 0.442 (multiplicity 1)
Re: 0.000 0.000 0.410 (multiplicity 1)
Br: 0.500 0.500 0.939 (multiplicity 1)

Calculated values
The formation energy from raw total energies is -0.346 eV/atom. As for the density of states at the Fermi level: 0.58 states/eV/atom. As for the total magnetization: 0.00 μB per formula unit. The value obtained for the polymorph energy (0 for the lowest one) is 172 meV per atom.


No. 8
# Ba2TbDySe4

A relaxed structure of Ba2TbDySe4 (PBE, Alexandria via LeMat-Bulk).

Cell lengths 7.424, 4.300, 7.797 Å; angles 90.00, 108.63, 90.00 degrees
Space group P2/m (No. 10)
Symmetry-distinct sites (fractional):
Ba: 0.000 0.000 0.000 (multiplicity 1)
Ba: 0.500 0.500 0.000 (multiplicity 1)
Tb: 0.000 0.500 0.500 (multiplicity 1)
Dy: 0.500 0.000 0.500 (multiplicity 1)
Se: 0.239 0.000 0.713 (multiplicity 2)
Se: 0.263 0.500 0.288 (multiplicity 2)

Calculated values
The formation energy from raw total energies is -1.882 eV/atom. As for the density of states at the Fermi level: 0.47 states/eV/atom. As for the total magnetization: 0.00 μB per formula unit.


No. 9
# AgSbRu2

A relaxed structure of AgSbRu2 (PBE, Alexandria via LeMat-Bulk).

Cell lengths 2.934, 2.934, 8.369 Å; angles 90.00, 90.00, 90.00 degrees
Space group P4mm (No. 99)
Symmetry-distinct sites (fractional):
Ag: 0.000 0.000 0.000 (multiplicity 1)
Sb: 0.500 0.500 0.674 (multiplicity 1)
Ru: 0.000 0.000 0.431 (multiplicity 1)
Ru: 0.500 0.500 0.243 (multiplicity 1)

Calculated values
The formation energy from raw total energies is 0.318 eV/atom. As for the density of states at the Fermi level: 0.80 states/eV/atom. As for the total magnetization: 0.00 μB per formula unit.


No. 10
# Dy2TmCo2

A relaxed structure of Dy2TmCo2 (PBE, Alexandria via LeMat-Bulk).

Cell lengths 12.265, 3.796, 10.772 Å; angles 90.00, 120.30, 90.00 degrees
Space group C2/m (No. 12)
Symmetry-distinct sites (fractional):
Dy: 0.035 0.000 0.195 (multiplicity 4)
Dy: 0.165 0.000 0.576 (multiplicity 4)
Tm: 0.215 0.500 0.862 (multiplicity 4)
Co: 0.009 0.500 0.393 (multiplicity 4)
Co: 0.107 0.500 0.049 (multiplicity 4)

Calculated values
As for the density of states at the Fermi level: 0.95 states/eV/atom. As for the total magnetization: 0.00 μB per formula unit. The value obtained for the formation energy is -0.8 eV per formula unit. The value obtained for the polymorph energy (0 for the lowest one) is 20 meV per atom.


No. 11
# RbCa2As2

A relaxed structure of RbCa2As2 (PBE, Alexandria via LeMat-Bulk).

Cell lengths 5.630, 5.630, 12.030 Å; angles 90.00, 90.00, 90.00 degrees
Space group I4/mmm (No. 139)
Symmetry-distinct sites (fractional):
Rb: 0.000 0.000 0.000 (multiplicity 2)
Ca: 0.000 0.000 0.302 (multiplicity 4)
As: 0.000 0.500 0.250 (multiplicity 4)

Calculated values
As for the density of states at the Fermi level: 0.55 states/eV/atom. As for the total magnetization: 0.00 μB per formula unit. The value obtained for the formation energy is -3.1 eV per formula unit. The value obtained for the polymorph energy (0 for the lowest one) is 178 meV per atom.


No. 12
# La2NdCd2In2

A relaxed structure of La2NdCd2In2 (PBE, Alexandria via LeMat-Bulk).

Cell lengths 5.0127, 5.0127, 28.0051 Å; angles 90.00, 90.00, 120.00 degrees
Space group R-3m (No. 166, hexagonal axes)
Symmetry-distinct sites (fractional):
La: 0.0000 0.0000 0.1304 (multiplicity 6)
Nd: 0.0000 0.0000 0.0000 (multiplicity 3)
Cd: 0.0000 0.0000 0.3977 (multiplicity 6)
In: 0.0000 0.0000 0.2643 (multiplicity 6)

Calculated values
As for the density of states at the Fermi level: 0.69 states/eV/atom. As for the total magnetization: 0.00 μB per formula unit. The value obtained for the formation energy is -2.3 eV per formula unit.